# 1
Computed, not measured: a relaxed structure of ErLuZn at the PBE-GGA level of DFT.

a b c (Å): 3.533 4.943 4.943
angles (deg): 120.00 90.00 90.00
Atoms (fractional coordinates):
Zn (0.309, 0.333, 0.667)
Lu (0.079, 0.000, 0.000)
Er (0.612, 0.667, 0.333)

Output
crystal system	trigonal
VASP energy	-3.505	eV/atom
total magnetization	0.0	μB per formula unit
symmetry	P3m1, No. 156

***

# 2
Computed, not measured: a relaxed structure of Er2LuZr at the PBE-GGA level of DFT.

a b c (Å): 5.441 5.441 5.441
angles (deg): 60.00 60.00 60.00
Site moments in Bohr magnetons follow the coordinates.
Atoms (fractional coordinates):
Lu (0.000, 0.000, 0.000)  -0.24
Zr (0.500, 0.500, 0.500)  -0.98
Er (0.250, 0.250, 0.250)  -0.51
Er (0.750, 0.750, 0.750)  -0.51

Output
crystal system	cubic
VASP energy	-5.355	eV/atom
total magnetization	3.2	μB per formula unit
symmetry	Fm-3m, No. 225

***

Going through the records in order, we get ΔE_f values of -0.052 0.193 eV per atom.